(1)
An optimized crystal structure of YHoAsI2. Source: OQMD, functional GGA-PBE.

Geometry as extended XYZ:
```
5
Lattice="4.1680 0.0000 0.0000 -2.0840 3.6096 0.0000 0.0000 0.0000 10.8709" Properties=species:S:1:pos:R:3 pbc="T T T"
I 2.0840 1.2032 7.3147
Ho 2.0840 1.2032 1.5328
I 0.0000 2.4064 3.5393
Y 0.0000 2.4064 9.3373
As 0.0000 0.0000 0.0177
```

Summary:
* electronic total energy: -26.145 eV for the cell shown

***

(2)
An optimized crystal structure of AgHgSeO. Source: OQMD, functional GGA-PBE.

Geometry as extended XYZ:
```
16
Lattice="7.1018 0.0000 0.0000 0.0000 8.7055 0.0000 0.0000 0.0000 5.3543" Properties=species:S:1:pos:R:3 pbc="T T T"
Se 6.5965 3.2173 3.0082
O 0.5522 0.9645 0.3190
Ag 0.3545 5.7101 3.0095
O 4.1031 7.7410 0.3190
Ag 3.9054 2.9954 3.0095
Hg 2.7838 0.8241 0.3562
Ag 6.7473 2.9954 0.3323
Se 3.0456 5.4882 3.0082
Ag 3.1964 5.7101 0.3323
Hg 0.7671 0.8241 3.0333
Hg 6.3347 7.8814 0.3562
Se 0.5052 5.4882 0.3311
Se 4.0561 3.2173 0.3311
Hg 4.3180 7.8814 3.0333
O 2.9987 0.9645 2.9961
O 6.5496 7.7410 2.9961
```

Summary:
* ΔE to the lowest computed polymorph: 0.026 eV/atom
* electronic total energy: -47.249 eV for the cell shown

***

(3)
An optimized crystal structure of Lu4SbAuC2. Source: OQMD, functional GGA-PBE.

Geometry as extended XYZ:
```
8
Lattice="3.5786 0.0000 0.0000 -1.7893 3.0991 0.0000 0.0000 0.0000 14.2835" Properties=species:S:1:pos:R:3 pbc="T T T"
C 0.0000 2.0661 10.8310
Lu 1.7893 1.0330 9.5685
Lu 1.7893 1.0330 4.7150
Lu 0.0000 0.0000 2.1502
C 0.0000 2.0661 3.4525
Sb 0.0000 0.0000 7.1418
Au 1.7893 1.0330 0.0000
Lu 0.0000 0.0000 12.1333
```

Summary:
* electronic total energy: -49.067 eV for the cell shown

***

(4)
An optimized crystal structure of Li2Y2SnPd2Pb. Source: OQMD, functional GGA-PBE.

Geometry as extended XYZ:
```
8
Lattice="4.8035 0.0000 0.0000 0.0000 4.8035 0.0000 0.0000 0.0000 6.7968" Properties=species:S:1:pos:R:3 pbc="T T T"
Sn 2.4017 2.4017 0.0000
Li 2.4017 0.0000 5.1198
Y 0.0000 0.0000 0.0000
Pd 2.4017 0.0000 1.6352
Li 0.0000 2.4017 1.6769
Pd 0.0000 2.4017 5.1615
Y 2.4017 2.4017 3.3984
Pb 0.0000 0.0000 3.3984
```

Summary:
* electronic total energy: -40.667 eV for the cell shown

***

(5)
An optimized crystal structure of CsUCuTe3. Source: OQMD, functional GGA-PBE.

Geometry as extended XYZ:
```
12
Lattice="-4.3535 0.0000 0.0000 -2.1767 8.5212 0.0000 0.0000 0.0000 -11.4137" Properties=species:S:1:pos:R:3 pbc="T T T"
U 0.0000 0.0000 0.0000
Te -2.1768 2.0469 -5.0318
Te -2.1767 7.5321 -2.8534
Cu -4.3535 7.9541 -8.5603
Cu -2.1767 0.5671 -2.8534
Cs -2.1767 4.1536 -8.5603
Te -4.3535 0.9891 -8.5603
Te -2.1768 2.0469 -0.6751
U 0.0000 0.0000 -5.7068
Te -4.3535 6.4743 -10.7386
Te -4.3535 6.4743 -6.3819
Cs -4.3535 4.3676 -2.8534
```

Summary:
* electronic total energy: -59.365 eV for the cell shown

***

(6)
An optimized crystal structure of LaHgAu2. Source: OQMD, functional GGA-PBE.

Geometry as extended XYZ:
```
24
Lattice="-2.8607 -3.9143 -1.5364 3.1033 -4.2035 4.9310 -10.8289 3.9257 10.1617" Properties=species:S:1:pos:R:3 pbc="T T T"
La -10.4548 1.3145 7.7004
Au -0.6593 -3.0016 0.4570
Au -6.3174 -2.4993 9.7129
Au -4.2689 -1.6929 3.8435
Au -8.2429 2.2136 9.7085
La -3.2348 -1.3031 0.9250
Hg -3.6095 1.3085 3.3871
Au -7.8791 -0.3839 7.2314
La -5.6672 0.5152 9.2396
Hg -5.2931 -2.0961 6.7782
Hg -7.2194 2.6171 6.7746
Au -2.7072 -3.8082 6.3249
La -6.8448 0.0057 4.3127
Au 0.9019 -5.1162 2.9376
Hg 0.0000 0.0000 0.0000
Au 0.5173 -2.4914 5.3842
Hg -8.9026 -0.7875 10.1653
Au -6.7013 0.1254 12.1581
Au -3.0917 -1.1834 8.7716
La 1.5517 -2.1017 2.4655
La -2.0584 -0.7930 5.8531
Hg -1.6837 -3.4046 3.3910
Au -1.0243 -0.4033 2.9346
Au -4.6339 0.9055 6.3212
```

Summary:
* formation enthalpy at 0 K: -626.3 meV/atom
* electronic total energy: -85.550 eV for the cell shown

***

(7)
An optimized crystal structure of BeTc2. Source: OQMD, functional GGA-PBE.

Geometry as extended XYZ:
```
6
Lattice="4.4041 -3.0551 4.4316 6.5521 -1.2892 -1.9430 5.2313 3.6482 2.7735" Properties=species:S:1:pos:R:3 pbc="T T T"
Be 8.0937 -0.3481 2.6310
Tc 8.2723 -1.7886 4.1890
Tc 9.3464 -0.9056 1.0017
Tc 6.0703 -0.2610 1.9732
Be 4.0469 -0.1740 1.3155
Tc 8.6860 1.5631 3.3600
```

Summary:
* ΔE to the lowest computed polymorph: 2.505 eV/atom
* electronic total energy: -29.869 eV for the cell shown

***

(8)
An optimized crystal structure of LaPrZn4. Source: OQMD, functional GGA-PBE.

Geometry as extended XYZ:
```
6
Lattice="3.5611 0.0000 0.0000 0.0000 4.6472 0.0000 -0.0001 0.0000 8.0487" Properties=species:S:1:pos:R:3 pbc="T T T"
Zn 1.7759 0.0000 2.6984
La 0.0000 0.0000 0.0000
Zn 1.7765 2.3236 6.6899
Zn 1.7846 2.3236 1.3587
Pr -0.0001 2.3236 4.0243
Zn 1.7851 0.0000 5.3503
```

Summary:
* formation enthalpy at 0 K: -349.6 meV/atom
* ΔE to the lowest computed polymorph: 0.018 eV/atom
* electronic total energy: -16.854 eV for the cell shown